No. 1
Below is KTlCl2 after structural relaxation, with properties calculated at the PBE level.

abc: 9.116 9.116 9.116
angles: 60.00 60.00 60.00
Fractional positions:
K: 0.000 0.000 0.000
K: 0.000 0.000 0.500
K: 0.000 0.500 0.000
K: 0.500 0.000 0.000
Tl: 0.000 0.500 0.500
Tl: 0.500 0.000 0.500
Tl: 0.500 0.500 0.000
Tl: 0.500 0.500 0.500
Cl: 0.241 0.753 0.753
Cl: 0.247 0.247 0.247
Cl: 0.247 0.247 0.759
Cl: 0.247 0.759 0.247
Cl: 0.753 0.241 0.753
Cl: 0.753 0.753 0.241
Cl: 0.753 0.753 0.753
Cl: 0.759 0.247 0.247

## Properties
The uncorrected formation energy is -1.49 eV per atom. For the uncorrected energy, the calculation gives -3.28 eV/atom. The volume comes out at 33.48 Å³/atom. Its relative energy among the computed polymorphs is 0.005 eV/atom.

***

No. 2
Below is Nb2CuPd after structural relaxation, with properties calculated at the PBE level.

abc: 3.936 3.936 4.104
angles: 90.00 90.00 90.00
Fractional positions:
Nb: 0.000 0.500 0.000
Nb: 0.500 0.000 0.000
Cu: 0.000 0.000 0.500
Pd: 0.500 0.500 0.500

## Properties
For the uncorrected energy, the calculation gives -7.47 eV/atom. The volume comes out at 15.90 Å³/atom.

***

No. 3
Below is Ba8PPb3I3 after structural relaxation, with properties calculated at the PBE level.

abc: 10.033 10.033 10.456
angles: 118.52 118.52 60.25
Fractional positions:
Ba: 0.220 0.764 0.704
Ba: 0.221 0.221 0.704
Ba: 0.236 0.780 0.296
Ba: 0.255 0.255 0.266
Ba: 0.745 0.745 0.734
Ba: 0.764 0.220 0.704
Ba: 0.779 0.779 0.296
Ba: 0.780 0.236 0.296
P: 0.000 0.000 0.500
Pb: 0.000 0.500 0.500
Pb: 0.500 0.000 0.500
Pb: 0.500 0.500 0.500
I: 0.000 0.000 0.000
I: 0.000 0.500 0.000
I: 0.500 0.000 0.000

## Properties
The uncorrected formation energy is -0.94 eV per atom. For the uncorrected energy, the calculation gives -3.37 eV/atom. The volume comes out at 50.80 Å³/atom.

***

No. 4
Below is YAg after structural relaxation, with properties calculated at the PBE level.

abc: 7.931 7.931 7.931
angles: 93.39 93.39 151.86
Fractional positions:
Y: 0.139 0.356 0.496
Y: 0.356 0.861 0.217
Y: 0.644 0.139 0.783
Y: 0.861 0.644 0.504
Ag: 0.072 0.834 0.906
Ag: 0.166 0.072 0.238
Ag: 0.834 0.928 0.762
Ag: 0.928 0.166 0.094

## Properties
For the uncorrected energy, the calculation gives -4.61 eV/atom. The volume comes out at 28.53 Å³/atom.

***

No. 5
Below is HfTi2P3 after structural relaxation, with properties calculated at the PBE level.

abc: 3.439 9.561 6.085
angles: 90.00 90.00 90.00
Fractional positions:
Hf: 0.000 0.128 0.000
Hf: 0.000 0.872 0.500
Ti: 0.000 0.211 0.494
Ti: 0.000 0.789 0.994
Ti: 0.500 0.490 0.504
Ti: 0.500 0.510 0.004
P: 0.000 0.388 0.770
P: 0.000 0.612 0.270
P: 0.500 0.060 0.668
P: 0.500 0.287 0.227
P: 0.500 0.713 0.727
P: 0.500 0.940 0.168

## Properties
For the uncorrected energy, the calculation gives -8.03 eV/atom. The volume comes out at 16.67 Å³/atom.

***

No. 6
Below is Ce5HIr4 after structural relaxation, with properties calculated at the PBE level.

abc: 6.944 6.944 6.944
angles: 99.51 99.51 132.04
Fractional positions:
Ce: 0.000 0.000 0.000
Ce: 0.197 0.401 0.601
Ce: 0.401 0.801 0.204
Ce: 0.596 0.197 0.796
Ce: 0.801 0.596 0.399
H: 0.496 0.496 0.000
Ir: 0.101 0.705 0.809
Ir: 0.293 0.101 0.397
Ir: 0.705 0.896 0.603
Ir: 0.896 0.293 0.191

## Properties
For the uncorrected energy, the calculation gives -7.51 eV/atom. The volume comes out at 22.73 Å³/atom.

***

No. 7
Below is CaIn3Ir after structural relaxation, with properties calculated at the PBE level.

abc: 5.627 5.627 5.627
angles: 90.00 90.00 90.00
Fractional positions:
Ca: 0.000 0.000 0.000
In: 0.000 0.000 0.500
In: 0.000 0.500 0.000
In: 0.500 0.000 0.000
Ir: 0.500 0.500 0.500

## Properties
For the uncorrected energy, the calculation gives -2.26 eV/atom. The volume comes out at 35.63 Å³/atom. Its relative energy among the computed polymorphs is 1.912 eV/atom.

***

No. 8
Below is MoSe2S after structural relaxation, with properties calculated at the PBE level.

abc: 8.313 8.313 8.313
angles: 23.82 23.82 23.82
Fractional positions:
Mo: 0.000 0.000 0.000
Se: 0.401 0.401 0.401
Se: 0.599 0.599 0.599
S: 0.500 0.500 0.500

## Properties
The uncorrected formation energy is 0.06 eV per atom. For the uncorrected energy, the calculation gives -5.43 eV/atom. The volume comes out at 20.58 Å³/atom.